First-principles (GGA-PBE) data for a relaxed structure of Tb2YHo2Mg2, as listed in Alexandria via LeMat-Bulk.

Cell: 5.4373 5.4373 23.9949 Å, 90.00 90.00 120.00°
With the nearest neighbours (Å) after each atom.
Space group R-3m (No. 166, hexagonal axes)
One atom of each set of equivalent atoms:
Tb 0.0000 0.0000 0.0730 [6 per cell]  4 Mg 3.31-3.36, 3 Ho 3.47, 1 Tb 3.50
Y 0.0000 0.0000 0.5000 [3 per cell]  6 Mg 3.31
Ho 0.0000 0.0000 0.3450 [6 per cell]  3 Ho 3.19, 1 Mg 3.22, 3 Tb 3.47
Mg 0.0000 0.0000 0.2109 [6 per cell]  1 Ho 3.22, 4 Tb 3.31-3.36, 3 Y 3.31

First-principles (GGA-PBE) data for a relaxed structure of Sr2AlAs, as listed in Alexandria via LeMat-Bulk.

Cell: 4.0350 4.0508 7.0597 Å, 90.00 90.00 90.00°
With the nearest neighbours (Å) after each atom.
Space group Pmmm (No. 47)
One atom of each set of equivalent atoms:
Sr 0.0000 0.0000 0.2275 [2 per cell]  1 Sr 3.21, 4 As 3.28, 4 Al 3.45
Al 0.5000 0.5000 0.5000 [1 per cell]  8 Sr 3.45, 2 As 3.53
As 0.5000 0.5000 0.0000 [1 per cell]  8 Sr 3.28, 2 Al 3.53

Calculated values
- energy above the lowest structure with this stoichiometry (meV/atom) = 134

First-principles (GGA-PBE) data for a relaxed structure of K2LiPd, as listed in Alexandria via LeMat-Bulk.

Cell: 7.9976 7.9976 7.9976 Å, 90.00 90.00 90.00°
With the nearest neighbours (Å) after each atom.
Space group Fm-3m (No. 225)
One atom of each set of equivalent atoms:
K 0.2500 0.2500 0.2500 [8 per cell]  4 Li 3.46, 4 Pd 3.46
Li 0.0000 0.0000 0.0000 [4 per cell]  8 K 3.46
Pd 0.0000 0.0000 0.5000 [4 per cell]  8 K 3.46

Calculated values
- energy above the lowest structure with this stoichiometry (meV/atom) = 137

| no. | energy of formation from the pure elements (meV/atom) |
| --- | --- |
| 1 | -29 |
| 2 | -520 |
| 3 | 214 |